A.
## CaNi2Pt2 (PBE)

Data for a relaxed CaNi2Pt2 crystal.

Geometry as POSCAR:
```
CaNi2Pt2
1.0
7.481 0.000 0.000
0.000 7.481 0.000
0.000 0.000 2.809
Pt Ni Ca
4 4 2
Direct
0.367 0.867 0.000
0.633 0.133 0.000
0.867 0.633 0.000
0.133 0.367 0.000
0.666 0.834 0.500
0.166 0.666 0.500
0.334 0.166 0.500
0.834 0.334 0.500
0.000 0.000 0.000
0.500 0.500 0.000
```

Results
SG ... P4/mbm (127)
M_tot ... 0.000 μB/atom

B.
## CaNi2Pt2 (PBE)

Data for a relaxed CaNi2Pt2 crystal.

Geometry as POSCAR:
```
CaNi2Pt2
1.0
7.471 0.000 0.000
0.000 7.471 0.000
0.000 0.000 2.795
Pt Ca Ni
4 2 4
Direct
0.677 0.823 0.500
0.823 0.323 0.500
0.177 0.677 0.500
0.323 0.177 0.500
0.000 0.000 0.000
0.500 0.500 0.000
0.119 0.381 0.000
0.381 0.881 0.000
0.881 0.619 0.000
0.619 0.119 0.000
```

Results
SG ... P4/mbm (127)
M_tot ... 0.194 μB/atom

What should be chosen as the most stable of them? Choose B.

A.
## CaNiPt3 (PBE)

Data for a relaxed CaNiPt3 crystal.

Geometry as POSCAR:
```
CaNiPt3
1.0
4.650 0.000 0.000
0.000 4.650 0.000
0.000 0.000 4.650
Pt Ca Ni
3 1 1
Direct
0.000 0.000 0.500
0.500 0.000 0.000
0.000 0.500 0.000
0.500 0.500 0.500
0.000 0.000 0.000
```

Results
SG ... Pm-3m (221)
M_tot ... 0.203 μB/atom

B.
## CaNiPt3 (PBE)

Data for a relaxed CaNiPt3 crystal.

Geometry as POSCAR:
```
CaNiPt3
1.0
-0.817 1.116 -4.706
-3.720 -3.196 -0.112
-3.092 3.550 1.378
Ca Pt Ni
1 3 1
Direct
0.000 0.000 0.000
0.500 0.000 0.000
0.000 0.000 0.500
0.000 0.500 0.000
0.500 0.500 0.500
```

Results
SG ... Pm-3m (221)
M_tot ... 0.195 μB/atom

What should be chosen as the most stable of them? Choose A.

A.
## CaPuNi2 (PBE)

Data for a relaxed CaPuNi2 crystal.

Geometry as POSCAR:
```
CaPuNi2
1.0
-2.066 1.865 -1.907
1.747 -0.876 -2.750
-4.134 -5.480 -0.880
Ni Ca Pu
2 1 1
Direct
0.000 0.000 0.212
0.000 0.000 0.788
0.500 0.500 0.500
0.500 0.500 0.000
```

Results
SG ... P4/mmm (123)
M_tot ... 1.294 μB/atom

B.
## CaPuNi2 (PBE)

Data for a relaxed CaPuNi2 crystal.

Geometry as POSCAR:
```
CaPuNi2
1.0
-0.197 2.739 -3.913
0.719 -1.936 -4.311
-3.649 -0.455 -3.054
Ca Ni Pu
1 2 1
Direct
0.500 0.500 0.500
0.250 0.250 0.250
0.750 0.750 0.750
0.000 0.000 0.000
```

Results
SG ... Fm-3m (225)
M_tot ... 1.315 μB/atom

What should be chosen as the most stable of them? Choose A.

A.
## RbCaNi2 (PBE)

Data for a relaxed RbCaNi2 crystal.

Geometry as POSCAR:
```
RbCaNi2
1.0
0.000 3.649 3.649
3.649 0.000 3.649
3.649 3.649 0.000
Ni Rb Ca
2 1 1
Direct
0.750 0.750 0.750
0.250 0.250 0.250
0.500 0.500 0.500
0.000 0.000 0.000
```

Results
SG ... Fm-3m (225)
M_tot ... 0.216 μB/atom

B.
## RbCaNi2 (PBE)

Data for a relaxed RbCaNi2 crystal.

Geometry as POSCAR:
```
RbCaNi2
1.0
5.019 0.000 0.000
0.000 5.019 0.000
2.509 2.509 9.357
Rb Ni Ca
2 4 2
Direct
0.000 0.000 0.000
0.750 0.250 0.500
0.375 0.125 0.250
0.375 0.625 0.250
0.375 0.625 0.750
0.875 0.625 0.750
0.500 0.500 0.000
0.250 0.750 0.500
```

Results
SG ... I4_1/amd (141)
M_tot ... 0.069 μB/atom

What should be chosen as the most stable of them? Choose B.

A.
## RbCa2Ni2 (PBE)

Data for a relaxed RbCa2Ni2 crystal.

Geometry as POSCAR:
```
RbCa2Ni2
1.0
-2.864 5.348 -6.269
-7.688 -4.122 -0.004
-1.147 2.138 2.348
Rb Ni Ca
2 4 4
Direct
0.000 0.000 0.000
0.500 0.500 0.000
0.146 0.646 0.500
0.646 0.854 0.500
0.854 0.354 0.500
0.354 0.146 0.500
0.135 0.365 0.000
0.865 0.635 0.000
0.635 0.135 0.000
0.365 0.865 0.000
```

Results
SG ... P4/mbm (127)
M_tot ... 0.000 μB/atom

B.
## RbCa2Ni2 (PBE)

Data for a relaxed RbCa2Ni2 crystal.

Geometry as POSCAR:
```
RbCa2Ni2
1.0
8.312 0.000 0.000
0.000 8.312 0.000
0.000 0.000 3.955
Ni Ca Rb
4 4 2
Direct
0.103 0.397 0.000
0.603 0.103 0.000
0.897 0.603 0.000
0.397 0.897 0.000
0.651 0.849 0.500
0.151 0.651 0.500
0.849 0.349 0.500
0.349 0.151 0.500
0.000 0.000 0.000
0.500 0.500 0.000
```

Results
SG ... P4/mbm (127)
M_tot ... 0.000 μB/atom

C.
## RbCa2Ni2 (PBE)

Data for a relaxed RbCa2Ni2 crystal.

Geometry as POSCAR:
```
RbCa2Ni2
1.0
-5.188 0.294 -0.067
-0.265 -4.998 -1.398
-2.893 -3.970 5.083
Ni Ca Rb
2 2 1
Direct
0.250 0.750 0.500
0.750 0.250 0.500
0.322 0.322 0.357
0.678 0.678 0.643
0.000 0.000 0.000
```

Results
SG ... I4/mmm (139)
M_tot ... 0.000 μB/atom

What should be chosen as the most stable of them? Choose B.

A.
## RbCa3Ni (PBE)

Data for a relaxed RbCa3Ni crystal.

Geometry as POSCAR:
```
RbCa3Ni
1.0
6.293 0.000 0.000
0.000 6.293 0.000
0.000 0.000 6.293
Ca Rb Ni
3 1 1
Direct
0.500 0.000 0.000
0.000 0.500 0.000
0.000 0.000 0.500
0.000 0.000 0.000
0.500 0.500 0.500
```

Results
SG ... Pm-3m (221)
M_tot ... 0.000 μB/atom

B.
## RbCa3Ni (PBE)

Data for a relaxed RbCa3Ni crystal.

Geometry as POSCAR:
```
RbCa3Ni
1.0
5.769 0.000 0.000
0.000 5.769 0.000
0.000 0.000 5.769
Ca Ni Rb
3 1 1
Direct
0.000 0.500 0.000
0.500 0.000 0.000
0.000 0.000 0.500
0.000 0.000 0.000
0.500 0.500 0.500
```

Results
SG ... Pm-3m (221)
M_tot ... 0.000 μB/atom

What should be chosen as the most stable of them? Choose B.

A.
## CaReNi3 (PBE)

Data for a relaxed CaReNi3 crystal.

Geometry as POSCAR:
```
CaReNi3
1.0
-0.798 4.134 -1.213
-1.559 -1.427 -3.839
-4.017 -0.268 1.731
Ni Re Ca
3 1 1
Direct
0.500 0.000 0.000
0.000 0.000 0.500
0.000 0.500 0.000
0.500 0.500 0.500
0.000 0.000 0.000
```

Results
SG ... Pm-3m (221)
M_tot ... 0.828 μB/atom

B.
## CaReNi3 (PBE)

Data for a relaxed CaReNi3 crystal.

Geometry as POSCAR:
```
CaReNi3
1.0
4.582 0.000 0.000
0.000 4.582 0.000
0.000 0.000 4.582
Ni Ca Re
3 1 1
Direct
0.000 0.500 0.000
0.500 0.000 0.000
0.000 0.000 0.500
0.500 0.500 0.500
0.000 0.000 0.000
```

Results
SG ... Pm-3m (221)
M_tot ... 0.000 μB/atom

What should be chosen as the most stable of them? Choose B.

A.
## Ca2ReNi (PBE)

Data for a relaxed Ca2ReNi crystal.

Geometry as POSCAR:
```
Ca2ReNi
1.0
-2.625 -0.104 -4.043
-3.997 -0.636 2.621
2.894 3.751 0.895
Ca Re Ni
2 1 1
Direct
0.000 0.000 0.000
0.250 0.750 0.500
0.750 0.250 0.500
0.500 0.500 0.000
```

Results
SG ... I-4m2 (119)
M_tot ... 0.664 μB/atom

B.
## Ca2ReNi (PBE)

Data for a relaxed Ca2ReNi crystal.

Geometry as POSCAR:
```
Ca2ReNi
1.0
4.126 0.000 0.000
0.000 4.481 0.008
0.000 2.233 5.187
Re Ni Ca
1 1 2
Direct
0.500 0.577 0.721
0.000 0.672 0.530
0.500 0.271 0.334
0.000 0.980 0.915
```

Results
SG ... Amm2 (38)
M_tot ... 0.001 μB/atom

What should be chosen as the most stable of them? Choose B.